(1)
DFT (PBE) results for Y3Er2Sc5 after structural relaxation.

Computed properties:
- volume (Å³/cell) = 558
- E_form (kJ/mol of atoms) = 6.1
- space-group type = P-1, No. 2

a = 9.0111 Å, b = 8.9955 Å, c = 9.0043 Å
α = 106.54°, β = 106.81°, γ = 115.22°
Last column: nearest neighbours and their distance in Å.
Atoms (fractional coordinates):
Sc  0.6733  0.5207  0.9477  2 Er 3.34-3.40, 6 Sc 3.36-3.43, 4 Y 3.36-3.44
Sc  0.9264  0.2779  0.4534  4 Y 3.32-3.38, 6 Sc 3.36-3.44, 2 Er 3.40-3.41
Sc  0.4244  0.7718  0.4483  4 Er 3.32-3.41, 5 Sc 3.35-3.45, 3 Y 3.36-3.44
Sc  0.0736  0.7221  0.5466  4 Y 3.32-3.38, 6 Sc 3.36-3.44, 2 Er 3.40-3.41
Sc  0.9801  0.4304  0.1521  4 Y 3.32-3.44, 6 Sc 3.35-3.43, 2 Er 3.37-3.47
Sc  0.2239  0.1768  0.6483  2 Er 3.36-3.39, 4 Y 3.36-3.39, 6 Sc 3.37-3.44
Sc  0.0199  0.5696  0.8479  4 Y 3.32-3.44, 6 Sc 3.35-3.43, 2 Er 3.37-3.47
Sc  0.3267  0.4793  0.0523  2 Er 3.34-3.40, 6 Sc 3.36-3.43, 4 Y 3.36-3.44
Sc  0.7761  0.8232  0.3517  2 Er 3.36-3.39, 4 Y 3.36-3.39, 6 Sc 3.37-3.44
Sc  0.5756  0.2282  0.5517  4 Er 3.32-3.41, 5 Sc 3.35-3.45, 3 Y 3.36-3.44
Er  0.7258  0.6722  0.6498  6 Sc 3.36-3.41, 5 Y 3.40-3.48, 1 Er 3.40
Er  0.5228  0.0772  0.8402  6 Sc 3.32-3.47, 5 Y 3.39-3.47, 1 Er 3.59
Er  0.2742  0.3278  0.3502  6 Sc 3.36-3.41, 5 Y 3.40-3.48, 1 Er 3.40
Er  0.4772  0.9228  0.1598  6 Sc 3.32-3.47, 5 Y 3.39-3.47, 1 Er 3.59
Y  0.1235  0.8693  0.2547  8 Sc 3.32-3.44, 2 Er 3.41-3.48, 2 Y 3.45-3.51
Y  0.1767  0.0232  0.9449  4 Sc 3.38-3.44, 4 Er 3.39-3.46, 4 Y 3.45-3.51
Y  0.3673  0.6208  0.7502  7 Sc 3.34-3.44, 4 Er 3.40-3.48, 1 Y 3.45
Y  0.6327  0.3792  0.2498  7 Sc 3.34-3.44, 4 Er 3.40-3.48, 1 Y 3.45
Y  0.8233  0.9768  0.0551  4 Sc 3.38-3.44, 4 Er 3.39-3.46, 4 Y 3.45-3.51
Y  0.8765  0.1307  0.7453  8 Sc 3.32-3.44, 2 Er 3.41-3.48, 2 Y 3.45-3.51


(2)
DFT (PBE) results for Y2Er2Sc5 after structural relaxation.

Computed properties:
- volume (Å³/cell) = 500
- E_form (kJ/mol of atoms) = 8.5
- space-group type = P1, No. 1
- energy above the lowest structure with this stoichiometry (eV/atom) = 0.000

a = 8.3044 Å, b = 8.6591 Å, c = 11.0504 Å
α = 132.03°, β = 116.57°, γ = 85.00°
Last column: nearest neighbours and their distance in Å.
Atoms (fractional coordinates):
Er  0.8247  0.0767  0.9235  7 Sc 3.19-3.46, 2 Y 3.42-3.52
Er  0.6667  0.7733  0.4382  7 Sc 3.09-3.46, 2 Y 3.35-3.39
Er  0.4353  0.5054  0.9025  6 Sc 3.22-3.49, 3 Y 3.39-3.51, 1 Er 3.51
Er  0.2695  0.2004  0.4228  7 Sc 3.18-3.45, 2 Y 3.34-3.41, 1 Er 3.51
Sc  0.6657  0.5536  0.6035  3 Sc 3.02-3.30, 3 Y 3.12-3.25, 1 Er 3.19
Sc  0.2176  0.6514  0.1264  4 Sc 3.16-3.47, 3 Er 3.22-3.43, 2 Y 3.23-3.37
Sc  0.3777  0.9758  0.5958  3 Y 3.22-3.46, 4 Er 3.28-3.46, 5 Sc 3.40-3.54
Sc  0.5357  0.2832  0.0638  3 Sc 3.02-3.29, 3 Er 3.09-3.25, 1 Y 3.21
Sc  0.8281  0.8597  0.0710  3 Er 3.20-3.49, 4 Y 3.31-3.48, 5 Sc 3.40-3.57
Sc  0.1095  0.0851  0.7939  3 Sc 3.02-3.34, 2 Er 3.29, 1 Y 3.34
Sc  0.9925  0.1834  0.5425  4 Sc 3.16-3.47, 2 Er 3.18-3.31, 3 Y 3.24-3.42
Sc  0.0913  0.7477  0.8727  3 Sc 3.02-3.35, 2 Y 3.30-3.32, 1 Er 3.35
Sc  0.9204  0.4250  0.4069  5 Sc 3.11-3.48, 3 Y 3.33-3.46, 2 Er 3.35-3.44
Sc  0.2807  0.4055  0.2579  4 Sc 3.11-3.34, 3 Er 3.32-3.46, 2 Y 3.37-3.46
Y  0.7660  0.3252  0.7597  6 Sc 3.24-3.46, 3 Er 3.39-3.52, 1 Y 3.55
Y  0.3762  0.7569  0.7425  7 Sc 3.19-3.48, 2 Er 3.41-3.51
Y  0.5380  0.0576  0.2322  7 Sc 3.12-3.48, 2 Er 3.34-3.39
Y  0.9322  0.6341  0.2442  7 Sc 3.23-3.44, 2 Er 3.35-3.42, 1 Y 3.55


(3)
DFT (PBE) results for Y2Er12Sc after structural relaxation.

Computed properties:
- volume (Å³/cell) = 929
- E_form (kJ/mol of atoms) = 13.3
- space-group type = C2/m, No. 12

a = 6.5432 Å, b = 6.5432 Å, c = 25.1240 Å
α = 80.38°, β = 80.38°, γ = 114.69°
Last column: nearest neighbours and their distance in Å.
Atoms (fractional coordinates):
Er  0.6907  0.1907  0.1295  1 Sc 3.31, 8 Er 3.51-3.69, 1 Y 3.69
Er  0.3093  0.8093  0.8705  1 Sc 3.31, 8 Er 3.51-3.69, 1 Y 3.69
Er  0.7097  0.2097  0.4225  8 Er 3.31-3.54
Er  0.8101  0.8105  0.0615  2 Sc 3.25, 7 Er 3.29-3.53
Er  0.5660  0.5659  0.3293  7 Er 3.21-3.54, 4 Y 3.41-3.51
Er  0.4341  0.4340  0.6707  7 Er 3.21-3.54, 4 Y 3.41-3.51
Er  0.6860  0.6857  0.4448  10 Er 3.17-3.53
Er  0.1857  0.1860  0.4448  10 Er 3.17-3.53
Er  0.3143  0.3140  0.5552  10 Er 3.17-3.53
Er  0.8093  0.3093  0.8705  1 Sc 3.31, 8 Er 3.51-3.69, 1 Y 3.69
Er  0.7903  0.2903  0.5775  8 Er 3.31-3.54
Er  0.8140  0.8143  0.5552  10 Er 3.17-3.53
Er  0.6899  0.6895  0.9385  2 Sc 3.25, 7 Er 3.29-3.53
Er  0.8926  0.8924  0.8016  4 Er 3.21-3.53, 2 Y 3.59
Er  0.1907  0.6907  0.1295  1 Sc 3.31, 8 Er 3.51-3.69, 1 Y 3.69
Er  0.3924  0.3926  0.8016  4 Er 3.21-3.53, 2 Y 3.59
Er  0.0659  0.0660  0.3293  7 Er 3.21-3.54, 4 Y 3.41-3.51
Er  0.2900  0.7900  0.5776  8 Er 3.31-3.54
Er  0.1895  0.1899  0.9385  2 Sc 3.25, 7 Er 3.29-3.53
Er  0.1076  0.1074  0.1984  4 Er 3.21-3.53, 2 Y 3.59
Er  0.6074  0.6076  0.1984  4 Er 3.21-3.53, 2 Y 3.59
Er  0.2100  0.7100  0.4224  8 Er 3.31-3.54
Er  0.3105  0.3101  0.0615  2 Sc 3.25, 7 Er 3.29-3.53
Er  0.9340  0.9341  0.6707  7 Er 3.21-3.54, 4 Y 3.41-3.51
Y  0.1043  0.6043  0.2822  8 Er 3.41-3.76, 2 Y 3.53
Y  0.3957  0.8957  0.7178  8 Er 3.41-3.76, 2 Y 3.53
Y  0.6043  0.1043  0.2821  8 Er 3.41-3.76, 2 Y 3.53
Y  0.8957  0.3957  0.7179  8 Er 3.41-3.76, 2 Y 3.53
Sc  0.0001  0.5001  0.0001  6 Er 3.25-3.31, 2 Sc 3.53
Sc  0.4999  0.9999  0.9999  6 Er 3.25-3.31, 2 Sc 3.53


(4)
DFT (PBE) results for Y3Er2Sc4 after structural relaxation.

Computed properties:
- volume (Å³/cell) = 510
- E_form (kJ/mol of atoms) = 11.5
- space-group type = C2/c, No. 15

a = 5.8445 Å, b = 10.8766 Å, c = 10.8766 Å
α = 61.07°, β = 62.44°, γ = 62.44°
Last column: nearest neighbours and their distance in Å.
Atoms (fractional coordinates):
Y  0.7101  0.7413  0.9346  7 Sc 3.22-3.53, 2 Er 3.35-3.41
Y  0.2899  0.2587  0.0654  7 Sc 3.22-3.53, 2 Er 3.35-3.41
Y  0.2500  0.6031  0.3969  4 Sc 3.30-3.53, 4 Er 3.37-3.44
Y  0.2101  0.9346  0.7413  7 Sc 3.22-3.53, 2 Er 3.35-3.41
Y  0.7899  0.0654  0.2587  7 Sc 3.22-3.53, 2 Er 3.35-3.41
Y  0.7500  0.3969  0.6031  4 Sc 3.30-3.53, 4 Er 3.37-3.44
Sc  0.5974  0.4210  0.1366  1 Sc 3.08, 2 Y 3.22-3.28, 2 Er 3.25-3.30
Sc  0.4026  0.5790  0.8634  1 Sc 3.08, 2 Y 3.22-3.28, 2 Er 3.25-3.30
Sc  0.9026  0.8634  0.5790  1 Sc 3.08, 2 Y 3.22-3.28, 2 Er 3.25-3.30
Sc  0.4381  0.9035  0.1804  3 Sc 3.10-3.34, 1 Er 3.21, 4 Y 3.24-3.30
Sc  0.0619  0.8196  0.0965  3 Sc 3.10-3.34, 1 Er 3.21, 4 Y 3.24-3.30
Sc  0.9381  0.1804  0.9035  3 Sc 3.10-3.34, 1 Er 3.21, 4 Y 3.24-3.30
Sc  0.5619  0.0965  0.8196  3 Sc 3.10-3.34, 1 Er 3.21, 4 Y 3.24-3.30
Sc  0.0974  0.1366  0.4210  1 Sc 3.08, 2 Y 3.22-3.28, 2 Er 3.25-3.30
Er  0.4420  0.2316  0.5121  5 Sc 3.21-3.58, 4 Y 3.35-3.44
Er  0.0580  0.4879  0.7684  5 Sc 3.21-3.58, 4 Y 3.35-3.44
Er  0.5580  0.7684  0.4879  5 Sc 3.21-3.58, 4 Y 3.35-3.44
Er  0.9420  0.5121  0.2316  5 Sc 3.21-3.58, 4 Y 3.35-3.44


(5)
DFT (PBE) results for Y2Er2Sc3 after structural relaxation.

Computed properties:
- volume (Å³/cell) = 403
- E_form (kJ/mol of atoms) = 24.8
- space-group type = I2_13, No. 199

a = 8.0584 Å, b = 8.0584 Å, c = 8.0584 Å
α = 109.47°, β = 109.47°, γ = 109.47°
Last column: nearest neighbours and their distance in Å.
Atoms (fractional coordinates):
Y  0.9203  0.5000  0.0000  6 Sc 3.09-3.15, 1 Er 3.23
Y  0.5000  0.4203  0.5000  6 Sc 3.09-3.15, 1 Er 3.23
Y  0.5797  0.0797  0.0797  6 Sc 3.09-3.15, 1 Er 3.23
Y  0.0000  0.0000  0.4203  6 Sc 3.09-3.15, 1 Er 3.23
Sc  0.7500  0.5528  0.3028  4 Y 3.09-3.15, 2 Er 3.28
Sc  0.0528  0.3028  0.2500  4 Y 3.09-3.15, 2 Er 3.28
Sc  0.8028  0.2500  0.5528  4 Y 3.09-3.15, 2 Er 3.28
Sc  0.2500  0.9472  0.1972  4 Y 3.09-3.15, 2 Er 3.28
Sc  0.6972  0.7500  0.9472  4 Y 3.09-3.15, 2 Er 3.28
Sc  0.4472  0.1972  0.7500  4 Y 3.09-3.15, 2 Er 3.28
Er  0.0000  0.0000  0.8211  1 Y 3.23, 3 Sc 3.28, 3 Er 3.42
Er  0.5000  0.8211  0.5000  1 Y 3.23, 3 Sc 3.28, 3 Er 3.42
Er  0.1789  0.6789  0.6789  1 Y 3.23, 3 Sc 3.28, 3 Er 3.42
Er  0.3211  0.5000  0.0000  1 Y 3.23, 3 Sc 3.28, 3 Er 3.42


(6)
DFT (PBE) results for Y4ErSc2 after structural relaxation.

Computed properties:
- volume (Å³/cell) = 216
- E_form (kJ/mol of atoms) = 19.8
- space-group type = C2/m, No. 12
- energy above the lowest structure with this stoichiometry (eV/atom) = 0.059

a = 5.9957 Å, b = 5.9916 Å, c = 8.2194 Å
α = 126.06°, β = 66.64°, γ = 110.54°
Last column: nearest neighbours and their distance in Å.
Atoms (fractional coordinates):
Sc  0.5000  0.5000  0.0000  4 Y 3.13, 2 Sc 3.37, 2 Er 3.41
Sc  0.5000  0.0000  0.5000  8 Y 3.30-3.63, 2 Sc 3.37
Y  0.4081  0.2502  0.2697  2 Sc 3.13-3.30, 1 Er 3.31, 4 Y 3.42-3.49
Y  0.9805  0.6778  0.2699  2 Sc 3.13-3.30, 1 Er 3.31, 4 Y 3.42-3.49
Y  0.0195  0.3222  0.7301  2 Sc 3.13-3.30, 1 Er 3.31, 4 Y 3.42-3.49
Y  0.5919  0.7498  0.7303  2 Sc 3.13-3.30, 1 Er 3.31, 4 Y 3.42-3.49
Er  0.0000  0.0000  0.0000  8 Y 3.31-3.65, 2 Sc 3.41


(7)
DFT (PBE) results for Y5ErSc4 after structural relaxation.

Computed properties:
- volume (Å³/cell) = 592
- E_form (kJ/mol of atoms) = 15.4
- space-group type = Pmmn, No. 59
- energy above the lowest structure with this stoichiometry (eV/atom) = 0.099

a = 7.6713 Å, b = 8.7930 Å, c = 8.7777 Å
α = 90.00°, β = 90.00°, γ = 90.00°
Last column: nearest neighbours and their distance in Å.
Atoms (fractional coordinates):
Sc  0.5887  0.0000  0.2723  4 Sc 3.17-3.35, 4 Y 3.17-3.49, 1 Er 3.25
Sc  0.4122  0.2328  0.5000  4 Sc 3.17-3.35, 4 Y 3.17-3.47, 1 Er 3.23
Sc  0.4122  0.7672  0.5000  4 Sc 3.17-3.35, 4 Y 3.17-3.47, 1 Er 3.23
Sc  0.5878  0.2672  0.0000  4 Sc 3.17-3.35, 4 Y 3.17-3.47, 1 Er 3.23
Sc  0.5887  0.0000  0.7277  4 Sc 3.17-3.35, 4 Y 3.17-3.49, 1 Er 3.25
Sc  0.4113  0.5000  0.7723  4 Sc 3.17-3.35, 4 Y 3.17-3.49, 1 Er 3.25
Sc  0.4113  0.5000  0.2277  4 Sc 3.17-3.35, 4 Y 3.17-3.49, 1 Er 3.25
Sc  0.5878  0.7328  0.0000  4 Sc 3.17-3.35, 4 Y 3.17-3.47, 1 Er 3.23
Y  0.7989  0.3085  0.3083  4 Sc 3.17-3.49, 5 Y 3.37-3.55, 1 Er 3.44
Y  0.0008  0.0000  0.5000  8 Y 3.54-3.55, 4 Sc 3.74-3.76
Y  0.7989  0.6915  0.3083  4 Sc 3.17-3.49, 5 Y 3.37-3.55, 1 Er 3.44
Y  0.7989  0.3085  0.6917  4 Sc 3.17-3.49, 5 Y 3.37-3.55, 1 Er 3.44
Y  0.2011  0.1915  0.1917  4 Sc 3.17-3.49, 5 Y 3.37-3.55, 1 Er 3.44
Y  0.2011  0.1915  0.8083  4 Sc 3.17-3.49, 5 Y 3.37-3.55, 1 Er 3.44
Y  0.9992  0.5000  0.0000  8 Y 3.54-3.55, 4 Sc 3.74-3.76
Y  0.2011  0.8085  0.8083  4 Sc 3.17-3.49, 5 Y 3.37-3.55, 1 Er 3.44
Y  0.2011  0.8085  0.1917  4 Sc 3.17-3.49, 5 Y 3.37-3.55, 1 Er 3.44
Y  0.7989  0.6915  0.6917  4 Sc 3.17-3.49, 5 Y 3.37-3.55, 1 Er 3.44
Er  0.8767  0.0000  0.0000  4 Sc 3.23-3.25, 4 Y 3.44
Er  0.1233  0.5000  0.5000  4 Sc 3.23-3.25, 4 Y 3.44


(8)
DFT (PBE) results for Y2Er3Sc2 after structural relaxation.

Computed properties:
- volume (Å³/cell) = 422
- E_form (kJ/mol of atoms) = 22.6
- space-group type = I2_13, No. 199
- energy above the lowest structure with this stoichiometry (eV/atom) = 0.009

a = 8.1836 Å, b = 8.1836 Å, c = 8.1836 Å
α = 109.47°, β = 109.47°, γ = 109.47°
Last column: nearest neighbours and their distance in Å.
Atoms (fractional coordinates):
Y  0.1963  0.6963  0.6963  1 Sc 3.32, 3 Y 3.42, 6 Er 3.43-3.61
Y  0.3037  0.5000  0.0000  1 Sc 3.32, 3 Y 3.42, 6 Er 3.43-3.61
Y  0.5000  0.8037  0.5000  1 Sc 3.32, 3 Y 3.42, 6 Er 3.43-3.61
Y  0.0000  0.0000  0.8037  1 Sc 3.32, 3 Y 3.42, 6 Er 3.43-3.61
Er  0.8150  0.2500  0.5650  4 Sc 3.15-3.16, 2 Y 3.43
Er  0.0650  0.3150  0.2500  4 Sc 3.15-3.16, 2 Y 3.43
Er  0.6850  0.7500  0.9350  4 Sc 3.15-3.16, 2 Y 3.43
Er  0.7500  0.5650  0.3150  4 Sc 3.15-3.16, 2 Y 3.43
Er  0.4350  0.1850  0.7500  4 Sc 3.15-3.16, 2 Y 3.43
Er  0.2500  0.9350  0.1850  4 Sc 3.15-3.16, 2 Y 3.43
Sc  0.5000  0.3980  0.5000  6 Er 3.15-3.16, 1 Y 3.32
Sc  0.6020  0.1020  0.1020  6 Er 3.15-3.16, 1 Y 3.32
Sc  0.8980  0.5000  0.0000  6 Er 3.15-3.16, 1 Y 3.32
Sc  0.0000  0.0000  0.3980  6 Er 3.15-3.16, 1 Y 3.32


(9)
DFT (PBE) results for Y9Er2Sc after structural relaxation.

Computed properties:
- volume (Å³/cell) = 376
- E_form (kJ/mol of atoms) = 3.4
- space-group type = P4/mmm, No. 123

a = 5.0057 Å, b = 5.0057 Å, c = 14.9919 Å
α = 90.00°, β = 90.00°, γ = 90.00°
Last column: nearest neighbours and their distance in Å.
Atoms (fractional coordinates):
Y  0.5000  0.5000  0.0000  8 Y 3.50, 4 Sc 3.54
Y  0.5000  0.0000  0.8372  2 Sc 3.50, 8 Y 3.50-3.55, 2 Er 3.56
Y  0.5000  0.0000  0.5000  8 Y 3.54-3.56, 4 Er 3.55
Y  0.0000  0.5000  0.8372  2 Sc 3.50, 8 Y 3.50-3.55, 2 Er 3.56
Y  0.5000  0.5000  0.6689  4 Er 3.54, 8 Y 3.55-3.56
Y  0.0000  0.5000  0.5000  8 Y 3.54-3.56, 4 Er 3.55
Y  0.5000  0.0000  0.1628  2 Sc 3.50, 8 Y 3.50-3.55, 2 Er 3.56
Y  0.0000  0.5000  0.1628  2 Sc 3.50, 8 Y 3.50-3.55, 2 Er 3.56
Y  0.5000  0.5000  0.3311  4 Er 3.54, 8 Y 3.55-3.56
Sc  0.0000  0.0000  0.0000  12 Y 3.50-3.54
Er  0.0000  0.0000  0.3318  12 Y 3.54-3.56
Er  0.0000  0.0000  0.6682  12 Y 3.54-3.56


no.,total moment (μB per atom)
1,0.00
2,0.00
3,0.00
4,0.00
5,0.00
6,0.00
7,0.00
8,0.00
9,0.00